First-principles (PBE) data for an optimized crystal structure of Ga2CuPdSe4, as listed in Alexandria via LeMat-Bulk.

Computed properties:
**Total magnetic moment**: 0.00 μB/f.u.
**Uncorrected formation energy**: -392 meV/atom

a b c (Å): 5.621 5.620 7.129
angles (deg): 113.21 113.21 90.01
Element x y z (fractional)
Se  0.867  0.380  0.247
Ga  0.750  0.250  0.500
Ga  0.250  0.750  0.500
Se  0.134  0.134  0.754
Se  0.380  0.867  0.247
Se  0.620  0.620  0.754
Cu  0.500  0.500  0.000
Pd  0.000  0.000  0.000